Compound: LiCoPO4
Source: Alexandria via LeMat-Bulk
Functional: PBE with a Hubbard U
Structure: relaxed

Computed properties:
- total magnetization (μB/f.u.) = 3.0
- DOS(E_F) (states/eV per atom) = 0.00
- offset from the most stable computed form (meV/atom) = 9
- raw total energy (eV/atom) = -6.64

Cell lengths 4.9696, 8.6540, 8.7067 Å; angles 110.69, 91.15, 91.42 degrees
Site moments in Bohr magnetons follow the coordinates.
Fractional positions:
O  0.6507  0.9733  0.8730  0.04
Li  0.5315  0.5046  0.9651  0.00
O  0.6482  0.4734  0.3756  0.04
O  0.2975  0.1569  0.0580  0.05
Co  0.4739  0.2489  0.2809  2.72
O  0.5907  0.7789  0.5063  0.04
O  0.2214  0.5960  0.3110  0.04
P  0.5300  0.6264  0.3471  0.01
O  0.6656  0.2789  0.9317  0.04
O  0.2793  0.0961  0.7533  0.04
O  0.1507  0.9733  0.3730  0.04
Co  0.0338  0.7489  0.2209  2.72
O  0.7793  0.0961  0.2533  0.04
O  0.1482  0.4734  0.8756  0.04
P  0.9726  0.1264  0.4047  0.01
Li  0.0315  0.5046  0.4651  0.00
P  0.0300  0.6264  0.8471  0.01
P  0.4726  0.1264  0.9047  0.01
O  0.1572  0.6569  0.6981  0.05
O  0.0907  0.7789  0.0063  0.04
Li  0.4611  0.0047  0.5354  0.00
O  0.7975  0.1569  0.5580  0.05
Li  0.9611  0.0047  0.0354  0.00
Co  0.5338  0.7489  0.7209  2.72
O  0.1656  0.2789  0.4317  0.04
O  0.6572  0.6569  0.1981  0.05
Co  0.9739  0.2489  0.7809  2.72
O  0.7214  0.5960  0.8110  0.04